## Fe2Cl2F (GGA+U)

Data for an optimized crystal structure of Fe2Cl2F.

a = 4.454 Å, b = 4.454 Å, c = 5.850 Å
α = 67.63°, β = 67.63°, γ = 90.00°
Site moments in Bohr magnetons follow the coordinates.
Atoms (fractional coordinates):
Fe (0.750, 0.250, 0.500)  3.42
Cl (0.350, 0.350, 0.300)  0.04
Cl (0.650, 0.650, 0.700)  0.04
Fe (0.250, 0.750, 0.500)  3.42
F (0.000, 0.000, 0.000)  0.03

Output
SG ... I4/mmm
ΔE to the lowest computed polymorph ... 587 meV per atom
N(E_F) ... 0.93 states/eV/atom
Electronic total energy ... -3.82 eV/atom

## FeClF2 (GGA+U)

Data for an optimized crystal structure of FeClF2.

a = 2.927 Å, b = 4.819 Å, c = 9.236 Å
α = 90.00°, β = 90.00°, γ = 90.00°
Site moments in Bohr magnetons follow the coordinates.
Atoms (fractional coordinates):
Cl (0.510, 0.750, 0.250)  -0.02
F (0.990, 0.750, 0.616)  -0.04
Fe (0.510, 0.250, 0.250)  1.49
F (0.010, 0.250, 0.116)  -0.04
Fe (0.490, 0.750, 0.750)  1.49
F (0.990, 0.750, 0.884)  -0.04
Cl (0.490, 0.250, 0.750)  -0.02
F (0.010, 0.250, 0.384)  -0.04

Output
SG ... Pmmn
ΔE to the lowest computed polymorph ... 274 meV per atom
N(E_F) ... 0.41 states/eV/atom
Electronic total energy ... -4.03 eV/atom

## FeCl3F4 (GGA+U)

Data for an optimized crystal structure of FeCl3F4.

a = 3.946 Å, b = 11.086 Å, c = 10.499 Å
α = 53.63°, β = 86.75°, γ = 70.26°
Site moments in Bohr magnetons follow the coordinates.
Atoms (fractional coordinates):
Cl (0.605, 0.950, 0.428)  0.19
F (0.356, 0.617, 0.867)  0.11
Cl (0.766, 0.550, 0.572)  0.19
F (0.537, 0.369, 0.216)  0.10
Cl (0.502, 0.789, 0.641)  0.20
Fe (0.552, 0.387, 0.024)  4.46
F (0.763, 0.143, 0.149)  0.12
Cl (0.379, 0.214, 0.586)  -0.04
F (0.834, 0.131, 0.784)  0.10
F (0.015, 0.883, 0.133)  0.11
F (0.056, 0.383, 0.024)  0.13
F (0.608, 0.357, 0.851)  0.12
F (0.316, 0.117, 0.976)  0.13
Fe (0.819, 0.113, 0.976)  4.46
Cl (0.992, 0.286, 0.414)  -0.04
Cl (0.869, 0.711, 0.359)  0.20

Output
SG ... P-1
N(E_F) ... 0.56 states/eV/atom
Electronic total energy ... -3.61 eV/atom

## FeCl2F (GGA+U)

Data for an optimized crystal structure of FeCl2F.

a = 8.994 Å, b = 8.994 Å, c = 6.656 Å
α = 47.50°, β = 47.50°, γ = 90.00°
Site moments in Bohr magnetons follow the coordinates.
Atoms (fractional coordinates):
F (0.500, 0.500, 0.000)  -0.14
Cl (0.375, 0.216, 0.750)  -0.20
Cl (0.784, 0.125, 0.250)  -0.20
Cl (0.966, 0.625, 0.250)  -0.20
Cl (0.875, 0.034, 0.750)  -0.20
Fe (0.000, 0.000, 0.000)  -4.31
Fe (0.750, 0.250, 0.500)  -4.31
F (0.250, 0.750, 0.500)  -0.14

Output
SG ... I-42d
ΔE to the lowest computed polymorph ... 129 meV per atom
N(E_F) ... 0.00 states/eV/atom
Electronic total energy ... -4.00 eV/atom

## FeCl2F (GGA+U)

Data for an optimized crystal structure of FeCl2F.

a = 7.669 Å, b = 7.669 Å, c = 7.669 Å
α = 28.13°, β = 28.13°, γ = 28.13°
Site moments in Bohr magnetons follow the coordinates.
Atoms (fractional coordinates):
Cl (0.893, 0.893, 0.893)  0.20
Fe (0.500, 0.500, 0.500)  3.78
Cl (0.107, 0.107, 0.107)  0.20
F (0.000, 0.000, 0.000)  0.59

Output
SG ... R-3m
ΔE to the lowest computed polymorph ... 645 meV per atom
N(E_F) ... 0.00 states/eV/atom
Electronic total energy ... -3.49 eV/atom

## FeClF2 (GGA+U)

Data for an optimized crystal structure of FeClF2.

a = 4.146 Å, b = 4.146 Å, c = 4.146 Å
α = 60.00°, β = 60.00°, γ = 60.00°
Site moments in Bohr magnetons follow the coordinates.
Atoms (fractional coordinates):
F (0.250, 0.250, 0.250)  0.15
Fe (0.500, 0.500, 0.500)  4.05
F (0.750, 0.750, 0.750)  0.15
Cl (0.000, 0.000, 0.000)  0.51

Output
SG ... Fm-3m
ΔE to the lowest computed polymorph ... 785 meV per atom
N(E_F) ... 0.27 states/eV/atom
Electronic total energy ... -3.52 eV/atom

## Fe2ClF3 (GGA+U)

Data for an optimized crystal structure of Fe2ClF3.

a = 5.084 Å, b = 5.084 Å, c = 6.606 Å
α = 90.00°, β = 90.00°, γ = 81.06°
Site moments in Bohr magnetons follow the coordinates.
Atoms (fractional coordinates):
Fe (0.554, 0.554, 0.750)  3.81
Fe (0.000, 0.000, 0.000)  0.02
F (0.303, 0.697, 0.500)  0.03
F (0.303, 0.697, 0.000)  0.03
F (0.697, 0.303, 0.000)  0.03
F (0.182, 0.182, 0.250)  0.03
F (0.697, 0.303, 0.500)  0.03
Cl (0.785, 0.785, 0.250)  0.02
Cl (0.215, 0.215, 0.750)  0.02
F (0.818, 0.818, 0.750)  0.03
Fe (0.446, 0.446, 0.250)  3.81
Fe (0.000, 0.000, 0.500)  0.02

Output
SG ... Cmcm
N(E_F) ... 0.00 states/eV/atom
Electronic total energy ... -4.82 eV/atom

## FeHClF2 (GGA+U)

Data for an optimized crystal structure of FeHClF2.

a = 3.789 Å, b = 5.423 Å, c = 3.789 Å
α = 90.00°, β = 90.00°, γ = 90.00°
Site moments in Bohr magnetons follow the coordinates.
Atoms (fractional coordinates):
Fe (0.000, 0.000, 0.000)  4.09
F (0.500, 0.000, 0.000)  0.13
Cl (0.500, 0.500, 0.500)  -0.06
F (0.000, 0.000, 0.500)  0.07
H (0.000, 0.500, 0.000)  -0.09

Output
SG ... P4/mmm
N(E_F) ... 0.63 states/eV/atom
Electronic total energy ... -3.77 eV/atom

## KFeClF2 (GGA+U)

Data for an optimized crystal structure of KFeClF2.

a = 4.228 Å, b = 4.228 Å, c = 4.984 Å
α = 90.00°, β = 90.00°, γ = 90.00°
Site moments in Bohr magnetons follow the coordinates.
Atoms (fractional coordinates):
Fe (0.000, 0.000, 0.000)  3.82
F (0.000, 0.500, 0.000)  0.05
K (0.500, 0.500, 0.500)  0.00
F (0.500, 0.000, 0.000)  0.05
Cl (0.000, 0.000, 0.500)  0.04

Output
SG ... P4/mmm
N(E_F) ... 0.73 states/eV/atom
Electronic total energy ... -4.46 eV/atom

## K2FeCl2F2 (GGA+U)

Data for an optimized crystal structure of K2FeCl2F2.

a = 3.919 Å, b = 6.696 Å, c = 6.986 Å
α = 63.23°, β = 73.71°, γ = 72.98°
Site moments in Bohr magnetons follow the coordinates.
Atoms (fractional coordinates):
Cl (0.451, 0.813, 0.284)  0.03
F (0.170, 0.734, 0.925)  0.04
Cl (0.549, 0.187, 0.716)  0.03
F (0.830, 0.266, 0.075)  0.04
K (0.183, 0.349, 0.285)  0.00
K (0.817, 0.651, 0.715)  0.00
Fe (0.000, 0.000, 0.000)  3.77

Output
SG ... C2/m
N(E_F) ... 0.00 states/eV/atom
Electronic total energy ... -4.35 eV/atom

## LaFeCl2F (GGA+U)

Data for an optimized crystal structure of LaFeCl2F.

a = 5.379 Å, b = 6.022 Å, c = 5.379 Å
α = 90.00°, β = 90.00°, γ = 90.00°
Site moments in Bohr magnetons follow the coordinates.
Atoms (fractional coordinates):
La (0.000, 0.000, 0.000)  -0.05
Cl (0.000, 0.000, 0.500)  0.00
F (0.500, 0.500, 0.500)  -0.11
Cl (0.500, 0.000, 0.000)  0.00
Fe (0.000, 0.500, 0.000)  3.02

Output
SG ... P4/mmm
N(E_F) ... 0.58 states/eV/atom
Electronic total energy ... -4.02 eV/atom

## LaFeClF4 (GGA+U)

Data for an optimized crystal structure of LaFeClF4.

a = 6.600 Å, b = 6.600 Å, c = 7.158 Å
α = 79.08°, β = 79.08°, γ = 69.48°
Site moments in Bohr magnetons follow the coordinates.
Atoms (fractional coordinates):
F (0.721, 0.721, 0.445)  0.03
F (0.882, 0.516, 0.860)  0.02
F (0.484, 0.118, 0.140)  0.02
Fe (0.378, 0.378, 0.295)  3.79
F (0.442, 0.442, 0.803)  0.03
F (0.279, 0.279, 0.555)  0.03
La (0.784, 0.784, 0.105)  0.01
F (0.516, 0.882, 0.860)  0.02
Cl (0.016, 0.016, 0.235)  0.00
Fe (0.622, 0.622, 0.705)  3.79
Cl (0.984, 0.984, 0.765)  0.00
La (0.216, 0.216, 0.895)  0.01
F (0.558, 0.558, 0.197)  0.03
F (0.118, 0.484, 0.140)  0.02

Output
SG ... C2/m
N(E_F) ... 0.00 states/eV/atom
Electronic total energy ... -5.88 eV/atom

## LiFeClF2 (GGA+U)

Data for an optimized crystal structure of LiFeClF2.

a = 3.972 Å, b = 3.972 Å, c = 5.243 Å
α = 90.00°, β = 90.00°, γ = 90.00°
Site moments in Bohr magnetons follow the coordinates.
Atoms (fractional coordinates):
Fe (0.000, 0.000, 0.000)  3.81
Cl (0.000, 0.000, 0.500)  0.03
Li (0.500, 0.500, 0.500)  0.00
F (0.000, 0.500, 0.000)  0.07
F (0.500, 0.000, 0.000)  0.07

Output
SG ... P4/mmm
N(E_F) ... 0.48 states/eV/atom
Electronic total energy ... -4.47 eV/atom

## NaFeCl2F (GGA+U)

Data for an optimized crystal structure of NaFeCl2F.

a = 5.062 Å, b = 5.062 Å, c = 3.969 Å
α = 90.00°, β = 90.00°, γ = 90.00°
Site moments in Bohr magnetons follow the coordinates.
Atoms (fractional coordinates):
F (0.000, 0.000, 0.500)  0.06
Cl (0.000, 0.500, 0.000)  0.03
Cl (0.500, 0.000, 0.000)  0.03
Na (0.500, 0.500, 0.500)  0.00
Fe (0.000, 0.000, 0.000)  3.79

Output
SG ... P4/mmm
N(E_F) ... 0.00 states/eV/atom
Electronic total energy ... -4.23 eV/atom

## NaFeClF2 (GGA+U)

Data for an optimized crystal structure of NaFeClF2.

a = 4.054 Å, b = 4.054 Å, c = 5.146 Å
α = 90.00°, β = 90.00°, γ = 90.00°
Site moments in Bohr magnetons follow the coordinates.
Atoms (fractional coordinates):
F (0.000, 0.500, 0.000)  0.07
Fe (0.000, 0.000, 0.000)  3.81
Cl (0.000, 0.000, 0.500)  0.03
F (0.500, 0.000, 0.000)  0.07
Na (0.500, 0.500, 0.500)  0.00

Output
SG ... P4/mmm
N(E_F) ... 0.59 states/eV/atom
Electronic total energy ... -4.43 eV/atom

## FeClO2F (GGA+U)

Data for an optimized crystal structure of FeClO2F.

a = 4.009 Å, b = 4.009 Å, c = 3.903 Å
α = 90.00°, β = 90.00°, γ = 90.00°
Site moments in Bohr magnetons follow the coordinates.
Atoms (fractional coordinates):
F (0.000, 0.000, 0.500)  0.11
Cl (0.500, 0.500, 0.500)  -0.92
Fe (0.000, 0.000, 0.000)  4.37
O (0.000, 0.500, 0.000)  -0.60
O (0.500, 0.000, 0.000)  -0.60

Output
SG ... P4/mmm
N(E_F) ... 0.38 states/eV/atom
Electronic total energy ... -4.28 eV/atom

## FePCl2F (GGA+U)

Data for an optimized crystal structure of FePCl2F.

a = 5.335 Å, b = 5.335 Å, c = 3.633 Å
α = 90.00°, β = 90.00°, γ = 90.00°
Site moments in Bohr magnetons follow the coordinates.
Atoms (fractional coordinates):
Cl (0.000, 0.500, 0.000)  0.08
P (0.000, 0.000, 0.500)  0.22
Fe (0.500, 0.500, 0.500)  3.89
Cl (0.500, 0.000, 0.000)  0.08
F (0.000, 0.000, 0.000)  0.02

Output
SG ... P4/mmm
ΔE to the lowest computed polymorph ... 69 meV per atom
N(E_F) ... 0.68 states/eV/atom
Electronic total energy ... -3.17 eV/atom

## FePCl2F (GGA+U)

Data for an optimized crystal structure of FePCl2F.

a = 4.630 Å, b = 4.630 Å, c = 5.015 Å
α = 90.00°, β = 90.00°, γ = 90.00°
Site moments in Bohr magnetons follow the coordinates.
Atoms (fractional coordinates):
F (0.500, 0.500, 0.500)  0.13
Cl (0.500, 0.000, 0.000)  0.11
Fe (0.000, 0.000, 0.000)  3.86
Cl (0.000, 0.500, 0.000)  0.11
P (0.000, 0.000, 0.500)  -0.50

Output
SG ... P4/mmm
ΔE to the lowest computed polymorph ... 0 meV per atom
N(E_F) ... 0.51 states/eV/atom
Electronic total energy ... -3.24 eV/atom

## FeP2ClF (GGA+U)

Data for an optimized crystal structure of FeP2ClF.

a = 4.059 Å, b = 4.059 Å, c = 5.392 Å
α = 90.00°, β = 90.00°, γ = 90.00°
Site moments in Bohr magnetons follow the coordinates.
Atoms (fractional coordinates):
P (0.500, 0.000, 0.000)  0.07
Cl (0.000, 0.000, 0.500)  0.04
P (0.000, 0.500, 0.000)  0.07
F (0.000, 0.000, 0.000)  0.01
Fe (0.500, 0.500, 0.500)  3.74

Output
SG ... P4/mmm
ΔE to the lowest computed polymorph ... 204 meV per atom
N(E_F) ... 1.01 states/eV/atom
Electronic total energy ... -3.37 eV/atom

## FeP2ClF (GGA+U)

Data for an optimized crystal structure of FeP2ClF.

a = 4.535 Å, b = 4.535 Å, c = 4.681 Å
α = 90.00°, β = 90.00°, γ = 90.00°
Site moments in Bohr magnetons follow the coordinates.
Atoms (fractional coordinates):
P (0.500, 0.000, 0.000)  -0.25
Fe (0.000, 0.000, 0.000)  3.40
F (0.500, 0.500, 0.500)  -0.07
Cl (0.000, 0.000, 0.500)  0.00
P (0.000, 0.500, 0.000)  -0.25

Output
SG ... P4/mmm
ΔE to the lowest computed polymorph ... 0 meV per atom
N(E_F) ... 0.61 states/eV/atom
Electronic total energy ... -3.57 eV/atom